# Rb5TlBi2, optimized geometry, DFT PBE
# Uncorrected energy ... -0.1542 Ry per atom
data_Rb5TlBi2
_space_group_name_H-M_alt 'R -3 m'
_space_group_IT_number 166
_space_group_name_Hall '-R 3 2"'
_cell_length_a 6.4247
_cell_length_b 6.4247
_cell_length_c 33.9860
_cell_angle_alpha 90.00
_cell_angle_beta 90.00
_cell_angle_gamma 120.00
loop_
_atom_site_label
_atom_site_fract_x
_atom_site_fract_y
_atom_site_fract_z
Rb1 0.0000 0.0000 0.0000
Rb2 0.0000 0.0000 0.1228
Rb3 0.0000 0.0000 0.2823
Tl1 0.0000 0.0000 0.5000
Bi1 0.0000 0.0000 0.4058